Density functional theory data (PBE) for Pm5Nd2Sm12 after structural relaxation.

Summary:
Its density of states at the Fermi level is 28.0 states/eV/f.u.

Cell: 11.7562 11.7562 8.7889 Å, 108.57 108.57 35.49°
Closest atoms and distances in Å follow each position.
Fractional coordinates of all 19 atoms:
Pm: 0.0000 0.0000 0.0000  4 Sm 3.43
Pm: 0.2493 0.2493 0.9918  9 Sm 3.50-3.68, 3 Pm 3.56-3.59
Pm: 0.3479 0.3479 0.4047  9 Sm 3.51-3.63, 1 Pm 3.56, 2 Nd 3.68
Pm: 0.6521 0.6521 0.5953  9 Sm 3.51-3.63, 1 Pm 3.56, 2 Nd 3.68
Pm: 0.7507 0.7507 0.0082  9 Sm 3.50-3.68, 3 Pm 3.56-3.59
Nd: 0.2530 0.7470 0.5000  6 Sm 3.43-3.68, 2 Nd 3.54-3.63, 2 Pm 3.68
Nd: 0.7470 0.2530 0.5000  6 Sm 3.43-3.68, 2 Nd 3.54-3.63, 2 Pm 3.68
Sm: 0.0540 0.5473 0.7070  7 Sm 3.49-3.68, 4 Pm 3.56-3.68
Sm: 0.1475 0.1475 0.5729  6 Sm 3.55-3.68, 3 Pm 3.59-3.62, 2 Nd 3.63
Sm: 0.1502 0.6363 0.1148  4 Pm 3.43-3.53, 1 Nd 3.43, 6 Sm 3.48-3.79
Sm: 0.3637 0.8498 0.8852  4 Pm 3.43-3.53, 1 Nd 3.43, 6 Sm 3.48-3.79
Sm: 0.4517 0.4517 0.8077  5 Sm 3.35-3.74, 1 Pm 3.53, 2 Nd 3.68
Sm: 0.4527 0.9460 0.2930  7 Sm 3.49-3.68, 4 Pm 3.56-3.68
Sm: 0.5473 0.0540 0.7070  7 Sm 3.49-3.68, 4 Pm 3.56-3.68
Sm: 0.5483 0.5483 0.1923  5 Sm 3.35-3.74, 1 Pm 3.53, 2 Nd 3.68
Sm: 0.6363 0.1502 0.1148  4 Pm 3.43-3.53, 1 Nd 3.43, 6 Sm 3.48-3.79
Sm: 0.8498 0.3637 0.8852  4 Pm 3.43-3.53, 1 Nd 3.43, 6 Sm 3.48-3.79
Sm: 0.8525 0.8525 0.4271  6 Sm 3.55-3.68, 3 Pm 3.59-3.62, 2 Nd 3.63
Sm: 0.9460 0.4527 0.2930  7 Sm 3.49-3.68, 4 Pm 3.56-3.68


Density functional theory data (PBE) for Pm2NdSm7 after structural relaxation.

Summary:
Its density of states at the Fermi level is 14.9 states/eV/f.u.

Cell: 9.3253 9.3253 5.6080 Å, 90.00 90.00 123.49°
Closest atoms and distances in Å follow each position.
Fractional coordinates of all 10 atoms:
Pm: 0.2036 0.7964 0.0000  7 Sm 3.06-3.39
Pm: 0.7964 0.2036 0.0000  7 Sm 3.06-3.39
Nd: 0.5000 0.5000 0.5000  10 Sm 3.65-3.72
Sm: 0.0000 0.0000 0.0000  2 Pm 3.35, 4 Sm 3.39
Sm: 0.2070 0.4345 0.0000  2 Sm 3.17-3.39, 2 Pm 3.19-3.39
Sm: 0.2777 0.7223 0.5000  2 Pm 3.06
Sm: 0.4345 0.2070 0.0000  2 Sm 3.17-3.39, 2 Pm 3.19-3.39
Sm: 0.5655 0.7930 0.0000  2 Sm 3.17-3.39, 2 Pm 3.19-3.39
Sm: 0.7223 0.2777 0.5000  2 Pm 3.06
Sm: 0.7930 0.5655 0.0000  2 Sm 3.17-3.39, 2 Pm 3.19-3.39


| no. | energy of formation from the pure elements (meV/atom) | energy above the most stable polymorph in this dataset (meV per atom) | DFT total energy (eV/atom) |
| --- | --- | --- | --- |
| 1 | 129 | 5 | -4.6037 |
| 2 | 644 | 255 | -4.0861 |